K3BiS3: relaxed, PBE-GGA.

```
data_K3BiS3
_chemical_formula_sum 'K12 Bi4 S12'
_symmetry_space_group_name_H-M 'C 1 2/m 1'
_symmetry_Int_Tables_number 12
_cell_length_a 9.024
_cell_length_b 12.944
_cell_length_c 8.667
_cell_angle_alpha 90.00
_cell_angle_beta 104.56
_cell_angle_gamma 90.00
loop_
_symmetry_equiv_pos_as_xyz
'x,y,z'
'-x,-y,-z'
'-x,y,-z'
'x,-y,z'
'x+1/2,y+1/2,z'
'-x+1/2,-y+1/2,-z'
'-x+1/2,y+1/2,-z'
'x+1/2,-y+1/2,z'
loop_
_atom_site_label
_atom_site_fract_x
_atom_site_fract_y
_atom_site_fract_z
_atom_site_occupancy
K1 0.000 0.176 0.000 1
K2 0.000 0.193 0.500 1
K3 0.167 0.500 0.130 1
Bi1 0.190 0.500 0.646 1
S1 0.017 0.000 0.267 1
S2 0.119 0.350 0.801 1
```

Summary:
- energy relative to the elements, uncorrected (eV/atom) = -0.92
- crystal system = monoclinic

K5BiS: relaxed, PBE-GGA.

```
data_K5BiS
_chemical_formula_sum 'K20 Bi4 S4'
_symmetry_space_group_name_H-M 'C 1 2/c 1'
_symmetry_Int_Tables_number 15
_cell_length_a 9.579
_cell_length_b 10.357
_cell_length_c 11.970
_cell_angle_alpha 90.00
_cell_angle_beta 94.69
_cell_angle_gamma 90.00
loop_
_symmetry_equiv_pos_as_xyz
'x,y,z'
'-x,-y,-z'
'-x,y,-z+1/2'
'x,-y,z+1/2'
'x+1/2,y+1/2,z'
'-x+1/2,-y+1/2,-z'
'-x+1/2,y+1/2,-z+1/2'
'x+1/2,-y+1/2,z+1/2'
loop_
_atom_site_label
_atom_site_fract_x
_atom_site_fract_y
_atom_site_fract_z
_atom_site_occupancy
K1 0.000 0.124 0.250 1
K2 0.159 0.204 0.647 1
K3 0.189 0.418 0.011 1
Bi1 0.000 0.488 0.250 1
S1 0.000 0.000 0.000 1
```

Summary:
- energy relative to the elements, uncorrected (eV/atom) = -0.60
- crystal system = monoclinic

K2Bi3S6: relaxed, PBE-GGA.

```
data_K2Bi3S6
_chemical_formula_sum 'K4 Bi6 S12'
_symmetry_space_group_name_H-M 'C 1 2/m 1'
_symmetry_Int_Tables_number 12
_cell_length_a 7.019
_cell_length_b 12.155
_cell_length_c 8.072
_cell_angle_alpha 90.00
_cell_angle_beta 106.82
_cell_angle_gamma 90.00
loop_
_symmetry_equiv_pos_as_xyz
'x,y,z'
'-x,-y,-z'
'-x,y,-z'
'x,-y,z'
'x+1/2,y+1/2,z'
'-x+1/2,-y+1/2,-z'
'-x+1/2,y+1/2,-z'
'x+1/2,-y+1/2,z'
loop_
_atom_site_label
_atom_site_fract_x
_atom_site_fract_y
_atom_site_fract_z
_atom_site_occupancy
K1 0.000 0.167 0.000 1
Bi1 0.000 0.000 0.500 1
Bi2 0.000 0.333 0.500 1
S1 0.233 0.168 0.705 1
S2 0.240 0.500 0.707 1
```

Summary:
- energy relative to the elements, uncorrected (eV/atom) = -0.60
- crystal system = monoclinic

K3Bi5S12: relaxed, PBE-GGA.

```
data_K3Bi5S12
_chemical_formula_sum 'K24 Bi40 S96'
_symmetry_space_group_name_H-M 'I a -3 d'
_symmetry_Int_Tables_number 230
_symmetry_space_group_name_Hall '-I 4bd 2c 3'
_cell_length_a 16.977
_cell_length_b 16.977
_cell_length_c 16.977
_cell_angle_alpha 90.00
_cell_angle_beta 90.00
_cell_angle_gamma 90.00
loop_
_atom_site_label
_atom_site_fract_x
_atom_site_fract_y
_atom_site_fract_z
_atom_site_occupancy
K1 0.000 0.250 0.125 1
Bi1 0.000 0.000 0.000 1
Bi2 0.000 0.250 0.375 1
S1 0.031 0.059 0.651 1
```

Summary:
- energy relative to the elements, uncorrected (eV/atom) = -0.29
- crystal system = cubic

no.,density of states at the Fermi level (states/eV/cell),density (g/cm³)
1,0.0,2.86
2,9.1,2.45
3,23.3,4.52
4,32.1,4.20